Compound: ZnGeAsSe2
Source: the Alexandria database
Functional: PBEsol
Structure: relaxed

Magnetic moment ... 0.00 μB per formula unit
Raw formation energy ... 506.3 meV/atom
Final energy ... -3.359 eV/atom
DOS(E_F) ... 3.44 states/eV/cell

abc: 4.862 4.862 4.679
angles: 90.00 90.00 90.00
Fractional coordinates of all 5 atoms:
Zn 0.000 0.000 0.000
Ge 0.500 0.500 0.500
As 0.000 0.000 0.500
Se 0.000 0.500 0.000
Se 0.500 0.000 0.000



Compound: YCdNi2Rh
Source: the Alexandria database
Functional: PBEsol
Structure: relaxed

Magnetic moment ... 0.00 μB per formula unit
Energy of formation from the pure elements ... 7.83 eV per formula unit
Final energy ... -4.128 eV/atom
DOS(E_F) ... 2.33 states/eV/cell

abc: 4.407 4.407 5.295
angles: 90.00 90.00 90.00
Fractional coordinates of all 5 atoms:
Y 0.000 0.000 0.000
Cd 0.000 0.000 0.500
Ni 0.000 0.500 0.000
Ni 0.500 0.000 0.000
Rh 0.500 0.500 0.500